(1)
The following is a PBE calculation of a relaxed structure of PmPu2Au, from Alexandria via LeMat-Bulk.

Calculated values
Uncorrected energy, eV per atom: -9.24
Energy of formation from the pure elements, eV/atom: -0.07
DOS at the Fermi energy, states/eV/cell: 14.2
Magnetic moment, μB/cell: 12.06
Space group: P4/mmm, No. 123

Unit cell a=3.8078 b=3.8078 c=7.5344 alpha=90.00 beta=90.00 gamma=90.00
With the nearest neighbours (Å) after each atom.
Positions (direct):
Pu1 0.0000 0.0000 0.7910  4 Au 3.12, 1 Pu 3.15, 4 Pm 3.47
Pm1 0.5000 0.5000 0.5000  8 Pu 3.47, 2 Au 3.77, 4 Pm 3.81
Au1 0.5000 0.5000 0.0000  8 Pu 3.12
Pu2 0.0000 0.0000 0.2090  4 Au 3.12, 1 Pu 3.15, 4 Pm 3.47



(2)
The following is a PBE calculation of a relaxed structure of Ce5SmRh4, from Alexandria via LeMat-Bulk.

Calculated values
Uncorrected energy, eV per atom: -6.89
Energy of formation from the pure elements, eV/atom: -0.51
DOS at the Fermi energy, states/eV/cell: 25.9
Magnetic moment, μB/cell: 3.64
Space group: C2/m, No. 12

Unit cell a=4.1841 b=7.6358 c=8.8414 alpha=108.35 beta=103.69 gamma=90.00
With the nearest neighbours (Å) after each atom.
Positions (direct):
Ce1 0.1624 0.8640 0.3248  4 Rh 2.65-2.91
Rh1 0.3160 0.8601 0.6320  5 Ce 2.65-2.91
Ce2 0.8376 0.1360 0.6752  4 Rh 2.65-2.91
Rh2 0.9926 0.7209 0.9853  4 Ce 2.72-2.84, 2 Sm 2.96
Sm1 0.5000 0.0000 0.0000  6 Rh 2.96-2.99
Ce3 0.8184 0.6149 0.6368  3 Rh 2.82-2.84
Ce4 0.5000 0.5000 0.0000  4 Rh 2.72
Rh3 0.0074 0.2791 0.0147  4 Ce 2.72-2.84, 2 Sm 2.96
Rh4 0.6840 0.1399 0.3680  5 Ce 2.65-2.91
Ce5 0.1816 0.3851 0.3632  3 Rh 2.82-2.84



(3)
The following is a PBE calculation of a relaxed structure of Cs2Na2Se, from Alexandria via LeMat-Bulk.

Calculated values
Uncorrected energy, eV per atom: -1.85
ΔE_f (raw), eV per atom: -0.29
DOS at the Fermi energy, states/eV/cell: 0.0
Magnetic moment, μB/cell: 0.00
Space group: P4/mbm, No. 127

Unit cell a=9.0595 b=9.0595 c=7.4542 alpha=90.00 beta=90.00 gamma=90.00
With the nearest neighbours (Å) after each atom.
Positions (direct):
Se1 0.0000 0.0000 0.0000  4 Cs 3.40
Cs1 0.6605 0.1605 0.0000  2 Se 3.40
Cs2 0.8395 0.6605 0.0000  2 Se 3.40
Cs3 0.1605 0.3395 0.0000  2 Se 3.40
Na1 0.1399 0.6399 0.5000  1 Na 3.59
Na2 0.3601 0.1399 0.5000  1 Na 3.59
Na3 0.6399 0.8601 0.5000  1 Na 3.59
Na4 0.8601 0.3601 0.5000  1 Na 3.59
Cs4 0.3395 0.8395 0.0000  2 Se 3.40
Se2 0.5000 0.5000 0.0000  4 Cs 3.40